Entry from Alexandria: InRh3F at its PBEsol-relaxed geometry (meta-GGA SCAN).

The structure belongs to space group Pm-3m (No. 221); the cell edges are 4.216, 4.216 and 4.216 Å and the angles 90.00°, 90.00° and 90.00°. Symmetry generates all atoms from In at (0.000, 0.000, 0.000), Rh at (0.000, 0.500, 0.500) and F at (0.500, 0.500, 0.500).

The density of states at the Fermi level is 4.07 states/eV/f.u. For the energy relative to the elements, uncorrected, the calculation gives 379 meV per atom. The total energy comes out at -2.004 Ry/atom.